! PBE Li2ZnIrO4, relaxed; values from VASP
&SYSTEM
  ibrav = 0, nat = 8, ntyp = 4
/
ATOMIC_SPECIES
Li 6.94 Li.upf
Zn 65.41 Zn.upf
Ir 192.22 Ir.upf
O 16.00 O.upf
CELL_PARAMETERS angstrom
5.126 0.000 0.000
0.000 3.100 0.000
-1.850 0.000 4.969
ATOMIC_POSITIONS angstrom
Li 0.000 0.000 0.000
Li -0.925 1.550 2.484
Zn 1.638 0.000 2.484
Ir 2.563 1.550 0.000
O -0.063 0.000 3.847
O 0.943 1.550 1.218
O 2.334 1.550 3.750
O 3.340 0.000 1.121
! Magnetization ... 0.118 μB/atom
! VASP energy ... -5.5533 eV per atom
! E_form (uncorrected) ... -1.33 eV per atom
! SG ... P2/m (10)